VASP calculation (GGA-PBE) on LiYTe2 after structural relaxation.

Cell lengths 7.872, 5.353, 3.842 Å; angles 83.04, 71.14, 128.26 degrees
Positions (direct):
Te 0.500 0.000 0.500
Te 0.000 0.000 0.000
Y 0.000 0.500 0.500
Li 0.500 0.500 0.000

Crystal system: monoclinic
Formation energy from raw total energies, eV/atom: -0.96

VASP calculation (GGA-PBE) on In2Co2Ru after structural relaxation.

Cell lengths 6.332, 6.332, 3.968 Å; angles 90.00, 90.00, 90.00 degrees
Positions (direct):
Co 0.876 0.624 0.000
Co 0.376 0.876 0.000
Co 0.124 0.376 0.000
Co 0.624 0.124 0.000
Ru 0.000 0.000 0.000
Ru 0.500 0.500 0.000
In 0.180 0.680 0.500
In 0.820 0.320 0.500
In 0.680 0.820 0.500
In 0.320 0.180 0.500

Raw total energy, eV for the cell shown: -55.15
Crystal system: tetragonal

VASP calculation (GGA-PBE) on ZrRh2Se after structural relaxation.

Cell lengths 3.578, 3.579, 5.396 Å; angles 90.00, 90.00, 90.00 degrees
Positions (direct):
Rh 0.000 0.000 0.988
Rh 0.500 0.500 0.269
Zr 0.500 0.500 0.785
Se 0.000 0.000 0.459

Crystal system: tetragonal
Formation energy from raw total energies, eV/atom: -0.45

VASP calculation (GGA-PBE) on NdMgBeN2 after structural relaxation.

Cell lengths 4.043, 5.619, 6.012 Å; angles 102.93, 90.00, 90.00 degrees
Positions (direct):
Nd 0.229 0.500 0.750
Nd 0.771 0.500 0.250
Mg 0.515 0.000 0.750
Mg 0.485 0.000 0.250
N 0.748 0.217 0.543
N 0.748 0.783 0.957
N 0.252 0.217 0.043
N 0.252 0.783 0.457
Be 0.000 0.000 0.000
Be 0.000 0.000 0.500

Crystal system: monoclinic
Formation energy from raw total energies, eV/atom: -0.73

VASP calculation (GGA-PBE) on LaHo5P6 after structural relaxation.

Cell lengths 6.993, 6.996, 6.995 Å; angles 59.99, 80.39, 70.49 degrees
Positions (direct):
P 0.746 0.743 0.000
P 0.745 0.085 0.341
P 0.255 0.573 0.341
P 0.745 0.427 0.659
P 0.254 0.257 0.000
P 0.255 0.915 0.659
Ho 0.500 0.165 0.669
Ho 0.500 0.835 0.331
Ho 0.000 0.667 0.666
Ho 0.500 0.500 0.000
Ho 0.000 0.333 0.334
La 0.000 0.000 0.000

Raw total energy, eV for the cell shown: -79.38
Crystal system: monoclinic

VASP calculation (GGA-PBE) on TaTc2Os after structural relaxation.

Cell lengths 3.970, 3.937, 3.937 Å; angles 90.00, 90.00, 90.00 degrees
Positions (direct):
Tc 0.000 0.500 0.500
Tc 0.000 0.000 0.000
Ta 0.500 0.000 0.500
Os 0.500 0.500 0.000

Polymorph energy (0 for the lowest one), meV/atom: 0
Crystal system: tetragonal

VASP calculation (GGA-PBE) on NiRuPt2 after structural relaxation.

Cell lengths 4.714, 4.714, 2.719 Å; angles 90.01, 90.01, 109.64 degrees
Positions (direct):
Pt 0.000 0.000 0.000
Pt 0.500 0.500 0.000
Ni 0.000 0.500 0.500
Ru 0.500 0.000 0.500

Polymorph energy (0 for the lowest one), meV/atom: 29
Crystal system: orthorhombic

VASP calculation (GGA-PBE) on Pm2SiB after structural relaxation.

Cell lengths 3.405, 5.665, 9.794 Å; angles 90.00, 100.01, 90.00 degrees
Positions (direct):
Si 0.187 0.750 0.375
Si 0.813 0.250 0.625
Pm 0.187 0.250 0.374
Pm 0.813 0.750 0.626
Pm 0.559 0.750 0.118
Pm 0.441 0.250 0.882
B 0.051 0.250 0.102
B 0.949 0.750 0.898

Polymorph energy (0 for the lowest one), meV/atom: 146
Crystal system: orthorhombic
Formation energy from raw total energies, eV/atom: 0.20

VASP calculation (GGA-PBE) on TaTlOs2 after structural relaxation.

Cell lengths 4.125, 2.918, 6.409 Å; angles 62.98, 90.00, 90.00 degrees
Positions (direct):
Tl 0.500 0.738 0.762
Os 0.500 0.247 0.255
Os 0.000 0.981 0.019
Ta 0.000 0.534 0.464

Polymorph energy (0 for the lowest one), meV/atom: 248
Crystal system: monoclinic

VASP calculation (GGA-PBE) on KCd2SbBr8 after structural relaxation.

Cell lengths 6.920, 6.901, 9.418 Å; angles 80.53, 81.01, 80.59 degrees
Positions (direct):
Br 0.755 0.190 0.223
Br 0.332 0.315 0.500
Br 0.822 0.259 0.773
Br 0.178 0.741 0.227
Br 0.245 0.810 0.777
Br 0.280 0.263 0.983
Br 0.720 0.737 0.017
Br 0.668 0.685 0.500
K 0.000 0.000 0.500
Sb 0.000 0.000 0.000
Cd 0.555 0.560 0.277
Cd 0.445 0.440 0.723

Crystal system: triclinic
Formation energy from raw total energies, eV/atom: -0.87

VASP calculation (GGA-PBE) on Ba2HfMn after structural relaxation.

Cell lengths 12.205, 12.205, 8.959 Å; angles 47.07, 47.07, 90.00 degrees
Positions (direct):
Ba 0.456 0.125 0.250
Ba 0.294 0.625 0.250
Ba 0.375 0.544 0.750
Ba 0.875 0.706 0.750
Hf 0.000 0.000 0.000
Hf 0.750 0.250 0.500
Mn 0.500 0.500 0.000
Mn 0.250 0.750 0.500

Polymorph energy (0 for the lowest one), meV/atom: 0
Crystal system: tetragonal

VASP calculation (GGA-PBE) on SiCl4 after structural relaxation.

Cell lengths 5.287, 5.287, 5.287 Å; angles 109.47, 109.47, 109.47 degrees
Positions (direct):
Cl 0.000 0.500 0.000
Cl 0.500 0.500 0.500
Cl 0.500 0.000 0.000
Cl 0.000 0.000 0.500
Si 0.000 0.000 0.000

Polymorph energy (0 for the lowest one), meV/atom: 1346
Crystal system: cubic
Formation energy from raw total energies, eV/atom: 0.10